Density functional theory data (PBE) for an optimized crystal structure of Li4Ti2Nb3Cu3O16.

Properties
Crystal system: monoclinic
ΔE_f (raw) in eV per atom: -2.0993
Magnetization in μB/cell: 4.1
Uncorrected energy in eV per atom: -7.288

Geometry as CIF:
```
data_Li4Ti2Nb3Cu3O16
_chemical_formula_sum 'Li8 Ti4 Nb6 Cu6 O32'
_space_group_name_H-M_alt 'C 1 m 1'
_space_group_IT_number 8
_cell_length_a 10.808
_cell_length_b 6.000
_cell_length_c 10.071
_cell_angle_alpha 90.00
_cell_angle_beta 94.78
_cell_angle_gamma 90.00
loop_
_space_group_symop_operation_xyz
'x,y,z'
'x,-y,z'
'x+1/2,y+1/2,z'
'x+1/2,-y+1/2,z'
loop_
_atom_site_label
_atom_site_type_symbol
_atom_site_fract_x
_atom_site_fract_y
_atom_site_fract_z
_atom_site_occupancy
Li1 Li 0.000 0.000 0.000 1
Li2 Li 0.008 0.000 0.521 1
Li3 Li 0.172 0.500 0.926 1
Li4 Li 0.334 0.000 0.439 1
Ti1 Ti 0.189 0.500 0.537 1
Ti2 Ti 0.375 0.000 0.990 1
Nb1 Nb 0.091 0.251 0.249 1
Nb2 Nb 0.186 0.000 0.752 1
Cu1 Cu 0.338 0.500 0.185 1
Cu2 Cu 0.428 0.245 0.728 1
O1 O 0.006 0.500 0.347 1
O2 O 0.013 0.000 0.814 1
O3 O 0.116 0.254 0.618 1
O4 O 0.154 0.000 0.142 1
O5 O 0.159 0.500 0.137 1
O6 O 0.222 0.267 0.385 1
O7 O 0.254 0.214 0.884 1
O8 O 0.337 0.000 0.639 1
O9 O 0.349 0.500 0.611 1
O10 O 0.433 0.238 0.102 1
O11 O 0.489 0.000 0.866 1
O12 O 0.495 0.500 0.331 1
```

Density functional theory data (PBE) for an optimized crystal structure of KLi3Th2Se6.

Properties
Crystal system: monoclinic
ΔE_f (raw) in eV per atom: -1.4766
Magnetization in μB/cell: 0.0
Uncorrected energy in eV per atom: -5.025

Geometry as CIF:
```
data_KLi3Th2Se6
_chemical_formula_sum 'K2 Li6 Th4 Se12'
_space_group_name_H-M_alt 'C 1 2/m 1'
_space_group_IT_number 12
_cell_length_a 17.021
_cell_length_b 4.303
_cell_length_c 9.531
_cell_angle_alpha 90.00
_cell_angle_beta 99.37
_cell_angle_gamma 90.00
loop_
_space_group_symop_operation_xyz
'x,y,z'
'-x,-y,-z'
'-x,y,-z'
'x,-y,z'
'x+1/2,y+1/2,z'
'-x+1/2,-y+1/2,-z'
'-x+1/2,y+1/2,-z'
'x+1/2,-y+1/2,z'
loop_
_atom_site_label
_atom_site_type_symbol
_atom_site_fract_x
_atom_site_fract_y
_atom_site_fract_z
_atom_site_occupancy
K1 K 0.000 0.000 0.000 1
Li1 Li 0.000 0.000 0.500 1
Li2 Li 0.154 0.500 0.730 1
Th1 Th 0.162 0.500 0.330 1
Se1 Se 0.003 0.500 0.723 1
Se2 Se 0.162 0.000 0.553 1
Se3 Se 0.195 0.000 0.149 1
```

Density functional theory data (PBE) for an optimized crystal structure of Tm2Sn3Pd7.

Properties
Crystal system: monoclinic
Magnetization in μB/cell: 0.0
Uncorrected energy in eV per atom: -5.378

Geometry as CIF:
```
data_Tm2Sn3Pd7
_chemical_formula_sum 'Tm2 Sn3 Pd7'
_space_group_name_H-M_alt 'P 1 2/m 1'
_space_group_IT_number 10
_cell_length_a 4.806
_cell_length_b 4.663
_cell_length_c 11.077
_cell_angle_alpha 90.00
_cell_angle_beta 102.48
_cell_angle_gamma 90.00
loop_
_space_group_symop_operation_xyz
'x,y,z'
'-x,-y,-z'
'-x,y,-z'
'x,-y,z'
loop_
_atom_site_label
_atom_site_type_symbol
_atom_site_fract_x
_atom_site_fract_y
_atom_site_fract_z
_atom_site_occupancy
Tm1 Tm 0.153 0.000 0.307 1
Sn1 Sn 0.000 0.000 0.000 1
Sn2 Sn 0.358 0.500 0.714 1
Pd1 Pd 0.073 0.500 0.147 1
Pd2 Pd 0.287 0.000 0.574 1
Pd3 Pd 0.431 0.000 0.860 1
Pd4 Pd 0.500 0.500 0.000 1
```

Density functional theory data (PBE) for an optimized crystal structure of ScMn2PdCl.

Properties
Crystal system: tetragonal
ΔE_f (raw) in eV per atom: 0.3336
Magnetization in μB/cell: 4.5
Uncorrected energy in eV per atom: -6.008

Geometry as CIF:
```
data_ScMn2PdCl
_chemical_formula_sum 'Sc1 Mn2 Pd1 Cl1'
_space_group_name_H-M_alt 'P 4/m m m'
_space_group_IT_number 123
_space_group_name_Hall '-P 4 2'
_cell_length_a 4.273
_cell_length_b 4.273
_cell_length_c 4.649
_cell_angle_alpha 90.00
_cell_angle_beta 90.00
_cell_angle_gamma 90.00
loop_
_atom_site_label
_atom_site_type_symbol
_atom_site_fract_x
_atom_site_fract_y
_atom_site_fract_z
_atom_site_occupancy
Sc1 Sc 0.000 0.000 0.000 1
Mn1 Mn 0.000 0.500 0.500 1
Pd1 Pd 0.500 0.500 0.000 1
Cl1 Cl 0.500 0.500 0.500 1
```

Density functional theory data (PBE) for an optimized crystal structure of VP3S.

Properties
Crystal system: cubic
ΔE_f (raw) in eV per atom: 0.9549
Magnetization in μB/cell: 2.5
Uncorrected energy in eV per atom: -4.940
Energy relative to the lowest polymorph listed for this composition in eV/atom: 0.436

Geometry as CIF:
```
data_VP3S
_chemical_formula_sum 'V1 P3 S1'
_space_group_name_H-M_alt 'P m -3 m'
_space_group_IT_number 221
_space_group_name_Hall '-P 4 2 3'
_cell_length_a 4.419
_cell_length_b 4.419
_cell_length_c 4.419
_cell_angle_alpha 90.00
_cell_angle_beta 90.00
_cell_angle_gamma 90.00
loop_
_atom_site_label
_atom_site_type_symbol
_atom_site_fract_x
_atom_site_fract_y
_atom_site_fract_z
_atom_site_occupancy
V1 V 0.000 0.000 0.000 1
P1 P 0.000 0.500 0.500 1
S1 S 0.500 0.500 0.500 1
```

Density functional theory data (PBE) for an optimized crystal structure of LiBeCr2Sb.

Properties
Crystal system: tetragonal
ΔE_f (raw) in eV per atom: 0.4361
Magnetization in μB/cell: 5.0
Uncorrected energy in eV per atom: -5.366

Geometry as CIF:
```
data_LiBeCr2Sb
_chemical_formula_sum 'Li1 Be1 Cr2 Sb1'
_space_group_name_H-M_alt 'P 4/m m m'
_space_group_IT_number 123
_space_group_name_Hall '-P 4 2'
_cell_length_a 4.252
_cell_length_b 4.252
_cell_length_c 4.126
_cell_angle_alpha 90.00
_cell_angle_beta 90.00
_cell_angle_gamma 90.00
loop_
_atom_site_label
_atom_site_type_symbol
_atom_site_fract_x
_atom_site_fract_y
_atom_site_fract_z
_atom_site_occupancy
Li1 Li 0.000 0.000 0.000 1
Be1 Be 0.000 0.000 0.500 1
Cr1 Cr 0.000 0.500 0.500 1
Sb1 Sb 0.500 0.500 0.000 1
```

Among the records above, which one has the highest uncorrected energy?
VP3S

Which formula does entry 1 have?
Li4Ti2Nb3Cu3O16

Which of these has the highest uncorrected energy?
VP3S

Which formula does entry 4 have?
ScMn2PdCl